1.
Density functional theory data (PBE-GGA) for a relaxed structure of Ba2HgBiO.

Unit cell a=5.4483 b=5.4483 c=5.2080 alpha=90.00 beta=90.00 gamma=90.00
With the nearest neighbours (Å) after each atom.
Sites, in units of the cell vectors:
1 Ba 0.0000 0.5000 0.0000  2 O 2.72
2 Ba 0.5000 0.0000 0.0000  2 O 2.72
3 Hg 0.0000 0.0000 0.5000  2 O 2.60
4 Bi 0.5000 0.5000 0.5000  8 Ba 3.77, 4 Hg 3.85
5 O 0.0000 0.0000 0.0000  2 Hg 2.60, 4 Ba 2.72

Summary:
Final energy: -3.769 eV/atom
Energy above the most stable polymorph in this dataset: 2.09 kcal/mol of atoms
Spin magnetization: 0.0 μB/cell
Raw formation energy: -1.17 eV per atom
Density of states at the Fermi level: 1.6 states/eV/cell
Space-group type: P4/mmm

=====

2.
Density functional theory data (PBE-GGA) for a relaxed structure of BaHg4BiPb2.

Unit cell a=6.0109 b=6.0109 c=7.2582 alpha=90.00 beta=90.00 gamma=90.00
With the nearest neighbours (Å) after each atom.
Sites, in units of the cell vectors:
1 Ba 0.0000 0.0000 0.0000  2 Bi 3.63, 8 Hg 3.63
2 Hg 0.0000 0.5000 0.2814  2 Pb 3.01, 1 Hg 3.17
3 Hg 0.0000 0.5000 0.7186  2 Pb 3.01, 1 Hg 3.17
4 Hg 0.5000 0.0000 0.2814  2 Pb 3.01, 1 Hg 3.17
5 Hg 0.5000 0.0000 0.7186  2 Pb 3.01, 1 Hg 3.17
6 Bi 0.0000 0.0000 0.5000  8 Hg 3.40, 2 Ba 3.63
7 Pb 0.5000 0.5000 0.2804  4 Hg 3.01, 1 Pb 3.19
8 Pb 0.5000 0.5000 0.7196  4 Hg 3.01, 1 Pb 3.19

Summary:
Final energy: -1.958 eV/atom
Spin magnetization: 0.0 μB/cell
Energy relative to the elements: -154 meV/atom
Density of states at the Fermi level: 3.6 states/eV/cell
Space-group type: P4/mmm

=====

3.
Density functional theory data (PBE-GGA) for a relaxed structure of BaHg2BiPb2.

Unit cell a=7.7281 b=7.7281 c=7.7281 alpha=134.71 beta=134.71 gamma=65.98
With the nearest neighbours (Å) after each atom.
Sites, in units of the cell vectors:
1 Ba 0.0000 0.0000 0.0000  2 Hg 3.48
2 Hg 0.2683 0.2683 0.0000  4 Pb 2.98, 1 Bi 3.00
3 Hg 0.7317 0.7317 0.0000  4 Pb 2.98, 1 Bi 3.00
4 Bi 0.5000 0.5000 0.0000  2 Hg 3.00
5 Pb 0.2500 0.7500 0.5000  4 Hg 2.98
6 Pb 0.7500 0.2500 0.5000  4 Hg 2.98

Summary:
Final energy: -2.343 eV/atom
Spin magnetization: 0.0 μB/cell
Energy relative to the elements: -39 meV/atom
Density of states at the Fermi level: 3.5 states/eV/cell
Space-group type: I4/mmm

=====

4.
Density functional theory data (PBE-GGA) for a relaxed structure of Ba2Hg4BiPb3.

Unit cell a=5.1915 b=5.1915 c=12.3661 alpha=90.00 beta=90.00 gamma=90.00
With the nearest neighbours (Å) after each atom.
Sites, in units of the cell vectors:
1 Ba 0.0000 0.5000 0.2435  6 Pb 3.94-4.10, 8 Hg 3.95-3.98, 2 Bi 4.10
2 Ba 0.5000 0.0000 0.7565  6 Pb 3.94-4.10, 8 Hg 3.95-3.98, 2 Bi 4.10
3 Hg 0.0000 0.0000 0.0000  4 Pb 3.04
4 Hg 0.0000 0.5000 0.6387  3 Pb 2.89-3.11, 2 Bi 3.11
5 Hg 0.5000 0.0000 0.3613  3 Pb 2.89-3.11, 2 Bi 3.11
6 Hg 0.5000 0.5000 0.0000  4 Pb 3.04
7 Bi 0.0000 0.0000 0.5000  4 Hg 3.11
8 Pb 0.0000 0.5000 0.8721  5 Hg 2.89-3.04
9 Pb 0.5000 0.0000 0.1279  5 Hg 2.89-3.04
10 Pb 0.5000 0.5000 0.5000  4 Hg 3.11

Summary:
Final energy: -2.329 eV/atom
Spin magnetization: 0.0 μB/cell
Energy relative to the elements: -323 meV/atom
Density of states at the Fermi level: 3.5 states/eV/cell
Space-group type: P-4m2

=====

5.
Density functional theory data (PBE-GGA) for a relaxed structure of Ba2Hg3BiPb4.

Unit cell a=5.4890 b=5.4890 c=11.5837 alpha=90.00 beta=90.00 gamma=90.00
With the nearest neighbours (Å) after each atom.
Sites, in units of the cell vectors:
1 Ba 0.0000 0.5000 0.2435  7 Hg 3.94-4.34, 2 Bi 3.94, 9 Pb 4.05-4.33
2 Ba 0.5000 0.0000 0.7565  7 Hg 3.94-4.34, 2 Bi 3.94, 9 Pb 4.05-4.33
3 Hg 0.0000 0.0000 0.0000  4 Pb 3.13
4 Hg 0.0000 0.5000 0.6178  5 Pb 2.92-3.07
5 Hg 0.5000 0.0000 0.3822  5 Pb 2.92-3.07
6 Bi 0.5000 0.5000 0.0000  4 Pb 3.13
7 Pb 0.0000 0.0000 0.5000  4 Hg 3.07
8 Pb 0.0000 0.5000 0.8700  3 Hg 2.92-3.13, 2 Bi 3.13
9 Pb 0.5000 0.0000 0.1300  3 Hg 2.92-3.13, 2 Bi 3.13
10 Pb 0.5000 0.5000 0.5000  4 Hg 3.07

Summary:
Final energy: -2.624 eV/atom
Spin magnetization: 0.0 μB/cell
Energy relative to the elements: -278 meV/atom
Density of states at the Fermi level: 4.9 states/eV/cell
Space-group type: P-4m2

=====

6.
Density functional theory data (PBE-GGA) for a relaxed structure of Ba3Hg2Bi4Pb2.

Unit cell a=5.3257 b=5.3257 c=17.3879 alpha=90.00 beta=90.00 gamma=120.00
With the nearest neighbours (Å) after each atom.
Sites, in units of the cell vectors:
1 Ba 0.0000 0.0000 0.0000  6 Bi 3.78, 6 Hg 4.11
2 Ba 0.0000 0.0000 0.2590  3 Hg 3.55, 6 Bi 3.63-3.84
3 Ba 0.0000 0.0000 0.7410  3 Hg 3.55, 6 Bi 3.63-3.84
4 Hg 0.3333 0.6667 0.1566  3 Bi 3.12
5 Hg 0.6667 0.3333 0.8434  3 Bi 3.12
6 Bi 0.3333 0.6667 0.3696  4 Pb 3.29-3.37, 3 Ba 3.63
7 Bi 0.3333 0.6667 0.8735  3 Hg 3.12
8 Bi 0.6667 0.3333 0.1265  3 Hg 3.12
9 Bi 0.6667 0.3333 0.6304  4 Pb 3.29-3.37, 3 Ba 3.63
10 Pb 0.3333 0.6667 0.5636  4 Bi 3.29-3.37
11 Pb 0.6667 0.3333 0.4364  4 Bi 3.29-3.37

Summary:
Final energy: -3.155 eV/atom
Spin magnetization: 0.0 μB/cell
Energy relative to the elements: -491 meV/atom
Density of states at the Fermi level: 4.5 states/eV/cell
Space-group type: P-3m1

=====

7.
Density functional theory data (PBE-GGA) for a relaxed structure of BaHg5Bi2Pb.

Unit cell a=5.9127 b=5.9127 c=9.0692 alpha=90.00 beta=90.00 gamma=90.00
With the nearest neighbours (Å) after each atom.
Sites, in units of the cell vectors:
1 Ba 0.0000 0.0000 0.0000  12 Hg 4.06-4.18, 2 Pb 4.53
2 Hg 0.0000 0.5000 0.3076  2 Bi 2.96
3 Hg 0.0000 0.5000 0.6924  2 Bi 2.96
4 Hg 0.5000 0.0000 0.3076  2 Bi 2.96
5 Hg 0.5000 0.0000 0.6924  2 Bi 2.96
6 Hg 0.5000 0.5000 0.0000  2 Bi 2.77
7 Bi 0.5000 0.5000 0.3060  5 Hg 2.77-2.96
8 Bi 0.5000 0.5000 0.6940  5 Hg 2.77-2.96
9 Pb 0.0000 0.0000 0.5000  8 Hg 3.43

Summary:
Final energy: -1.660 eV/atom
Spin magnetization: 0.0 μB/cell
Energy relative to the elements: -4 meV/atom
Density of states at the Fermi level: 3.6 states/eV/cell
Space-group type: P4/mmm

=====

8.
Density functional theory data (PBE-GGA) for a relaxed structure of Ba2Hg3Bi4Pb.

Unit cell a=4.9231 b=4.9231 c=14.5395 alpha=90.00 beta=90.00 gamma=90.00
With the nearest neighbours (Å) after each atom.
Sites, in units of the cell vectors:
1 Ba 0.0000 0.5000 0.2356  4 Hg 3.75, 4 Bi 3.83
2 Ba 0.5000 0.0000 0.7644  4 Hg 3.75, 4 Bi 3.83
3 Hg 0.0000 0.5000 0.8597  5 Bi 2.98-3.20
4 Hg 0.5000 0.0000 0.1403  5 Bi 2.98-3.20
5 Hg 0.5000 0.5000 0.5000  4 Bi 3.33, 4 Pb 3.48
6 Bi 0.0000 0.0000 0.0000  4 Hg 3.20, 4 Bi 3.48
7 Bi 0.0000 0.5000 0.6544  3 Hg 2.98-3.33, 2 Pb 3.33
8 Bi 0.5000 0.0000 0.3456  3 Hg 2.98-3.33, 2 Pb 3.33
9 Bi 0.5000 0.5000 0.0000  4 Hg 3.20, 4 Bi 3.48
10 Pb 0.0000 0.0000 0.5000  4 Bi 3.33, 4 Hg 3.48

Summary:
Final energy: -2.767 eV/atom
Spin magnetization: 0.0 μB/cell
Energy relative to the elements: -369 meV/atom
Density of states at the Fermi level: 2.7 states/eV/cell
Space-group type: P-4m2

=====

The highest final energy belongs to which entry?
BaHg5Bi2Pb

=====

The highest final energy belongs to which entry?
BaHg5Bi2Pb

=====

What is the spin magnetization in the first record?
0.0 μB/cell